Here is a relaxed structure of NaNi2H3S2O10 from Alexandria. Energies are from PBE with a Hubbard U.

Unit cell a=5.3556 b=5.3556 c=7.4011 alpha=69.75 beta=69.75 gamma=71.67
With the nearest neighbours (Å) after each atom.
Sites, in units of the cell vectors:
H1 0.3038 0.3038 0.2337  1 O 0.99
S1 0.0895 0.0895 0.7093  4 O 1.46-1.54
H2 0.6890 0.6890 0.7704  1 O 0.99
Ni1 0.4969 0.9967 0.0018  6 O 2.00-2.16
O1 0.1775 0.7859 0.7542  1 S 1.49
O2 0.8081 0.8081 0.1615  1 S 1.54
S2 0.9039 0.9039 0.2944  4 O 1.46-1.54
O3 0.2076 0.8160 0.2495  1 S 1.49
O4 0.6499 0.6499 0.9168  1 H 0.99
O5 0.8160 0.2076 0.2495  1 S 1.49
Na1 0.4967 0.4967 0.5016  6 O 2.42-2.63
O6 0.1854 0.1854 0.8420  1 S 1.54
Ni2 0.9967 0.4969 0.0018  6 O 2.00-2.16
O7 0.7859 0.1775 0.7542  1 S 1.49
O8 0.2176 0.2176 0.5020  1 S 1.46
O9 0.3433 0.3433 0.0872  1 H 0.99
O10 0.7758 0.7758 0.5016  1 S 1.46
H3 0.4962 0.4963 0.0024  2 O 1.20-1.21

Output
Its energy above the lowest structure with this stoichiometry is 0 meV per atom. As for the space group: No. 8. The calculation puts the density of states at the Fermi level at 0.000 states/eV/atom.